[1]
VASP calculation (PBE-GGA) on Li2TaSe after structural relaxation.

a = 4.450 Å, b = 4.450 Å, c = 4.450 Å
α = 60.00°, β = 60.00°, γ = 60.00°
Fractional positions:
Li1 0.000 0.000 0.000
Li2 0.250 0.250 0.250
Ta1 0.750 0.750 0.750
Se1 0.500 0.500 0.500

Values from the calculation:
**Density**: 7.30 g/cm3
**Raw formation energy**: 247 meV per atom

[2]
VASP calculation (PBE-GGA) on Li2TaSe after structural relaxation.

a = 5.453 Å, b = 5.453 Å, c = 2.903 Å
α = 95.92°, β = 95.92°, γ = 124.42°
Fractional positions:
Li1 0.000 0.500 0.000
Li2 0.500 0.000 0.000
Ta1 0.000 0.000 0.500
Se1 0.500 0.500 0.500

Values from the calculation:
**Density**: 6.55 g/cm3
**Raw formation energy**: 40 meV per atom

[3]
VASP calculation (PBE-GGA) on LiTaSe3 after structural relaxation.

a = 7.264 Å, b = 7.264 Å, c = 7.264 Å
α = 53.47°, β = 53.47°, γ = 53.47°
Fractional positions:
Li1 0.153 0.153 0.153
Li2 0.847 0.847 0.847
Ta1 0.345 0.345 0.345
Ta2 0.655 0.655 0.655
Se1 0.073 0.729 0.439
Se2 0.271 0.561 0.927
Se3 0.439 0.073 0.729
Se4 0.561 0.927 0.271
Se5 0.729 0.439 0.073
Se6 0.927 0.271 0.561

Values from the calculation:
**Density**: 6.14 g/cm3
**Raw formation energy**: -838 meV per atom
**Distance to the lowest polymorph of the same formula**: 33 meV/atom

[4]
VASP calculation (PBE-GGA) on LiTa4Se8 after structural relaxation.

a = 7.010 Å, b = 7.010 Å, c = 9.102 Å
α = 124.75°, β = 124.75°, γ = 60.08°
Fractional positions:
Li1 0.000 0.000 0.000
Ta1 0.254 0.254 0.500
Ta2 0.261 0.739 0.500
Ta3 0.739 0.261 0.500
Ta4 0.746 0.746 0.500
Se1 0.034 0.034 0.735
Se2 0.039 0.533 0.743
Se3 0.461 0.461 0.251
Se4 0.467 0.961 0.257
Se5 0.533 0.039 0.743
Se6 0.539 0.539 0.749
Se7 0.961 0.467 0.257
Se8 0.966 0.966 0.265

Values from the calculation:
**Density**: 7.75 g/cm3
**Raw formation energy**: -837 meV per atom
**Distance to the lowest polymorph of the same formula**: 0 meV/atom

[5]
VASP calculation (PBE-GGA) on LiTaSe after structural relaxation.

a = 4.321 Å, b = 4.321 Å, c = 4.321 Å
α = 60.00°, β = 60.00°, γ = 60.00°
Fractional positions:
Li1 0.000 0.000 0.000
Ta1 0.750 0.750 0.750
Se1 0.500 0.500 0.500

Values from the calculation:
**Density**: 7.76 g/cm3
**Raw formation energy**: 567 meV per atom
**Distance to the lowest polymorph of the same formula**: 803 meV/atom

[6]
VASP calculation (PBE-GGA) on LiTaSe3 after structural relaxation.

a = 8.584 Å, b = 8.584 Å, c = 8.308 Å
α = 105.95°, β = 105.95°, γ = 24.10°
Fractional positions:
Li1 0.000 0.000 0.000
Li2 0.996 0.004 0.500
Ta1 0.385 0.321 0.179
Ta2 0.679 0.615 0.821
Se1 0.167 0.178 0.063
Se2 0.174 0.171 0.620
Se3 0.501 0.493 0.751
Se4 0.507 0.499 0.249
Se5 0.822 0.833 0.937
Se6 0.829 0.826 0.380

Values from the calculation:
**Density**: 5.88 g/cm3
**Raw formation energy**: -871 meV per atom
**Distance to the lowest polymorph of the same formula**: 0 meV/atom